VASP calculation (PBE) on a relaxed NaCaHgAu crystal.

```
NaCaHgAu
1.0
3.6766 0.0000 0.0000
0.0000 3.6766 0.0000
0.0000 0.0000 7.3789
Na Ca Hg Au
1 1 1 1
direct
0.0000 0.0000 0.0000
0.0000 0.0000 0.5277
0.5000 0.5000 0.2577
0.5000 0.5000 0.7512
```

Summary:
- Magnetization: 0.000 μB/atom
- Uncorrected energy: -8.8 eV per cell
- Energy relative to the elements: -0.478 eV per atom

VASP calculation (PBE) on a relaxed NaCaHgAu crystal.

```
NaCaHgAu
1.0
0.0000 3.6677 3.6677
3.6677 0.0000 3.6677
3.6677 3.6677 0.0000
Na Ca Hg Au
1 1 1 1
direct
0.0000 0.0000 0.0000
0.5000 0.5000 0.5000
0.7500 0.7500 0.7500
0.2500 0.2500 0.2500
```

Summary:
- Magnetization: 0.000 μB/atom
- Uncorrected energy: -8.7 eV per cell
- Energy relative to the elements: -0.456 eV per atom

VASP calculation (PBE) on a relaxed Na2CaHg2Au2 crystal.

```
Na2CaHg2Au2
1.0
2.4777 1.4305 8.1738
-2.4777 1.4305 8.1738
0.0000 -2.8610 8.1738
Na Ca Hg Au
2 1 2 2
direct
0.1339 0.1339 0.1339
0.8661 0.8661 0.8661
0.0000 0.0000 0.0000
0.2650 0.2650 0.2650
0.7350 0.7350 0.7350
0.3974 0.3974 0.3974
0.6026 0.6026 0.6026
```

Summary:
- Magnetization: 0.000 μB/atom
- Uncorrected energy: -14.5 eV per cell
- Energy relative to the elements: -0.386 eV per atom